The following is a DFT calculation (PBE-GGA) of KLiHfTe3 after structural relaxation.

The structure in POSCAR format:
```
KLiHfTe3
1.0
4.239 0.000 0.000
0.000 9.404 0.575
0.000 -3.983 9.507
Te Li K Hf
6 2 2 2
Direct
0.250 0.767 0.450
0.250 0.122 0.875
0.250 0.541 0.855
0.750 0.233 0.550
0.750 0.459 0.145
0.750 0.878 0.125
0.750 0.923 0.399
0.250 0.077 0.601
0.750 0.782 0.738
0.250 0.218 0.262
0.250 0.682 0.161
0.750 0.318 0.839
```

Results
uncorrected formation energy	-969	meV/atom
SG	P2_1/m (11)